No. 1
A relaxed structure of SrAg2Sn4. Source: Alexandria, functional PBE.

Summary:
Its mass density is 7.04 Mg/m³.

Cell lengths 4.885, 7.595, 19.792 Å; angles 90.00, 90.00, 90.00 degrees
Fractional coordinates of all 28 atoms:
Sr 0.750 0.968 0.642
Sr 0.250 0.032 0.358
Sr 0.250 0.468 0.858
Sr 0.750 0.532 0.142
Ag 0.250 0.756 0.537
Ag 0.750 0.244 0.463
Ag 0.750 0.256 0.963
Ag 0.250 0.744 0.037
Ag 0.250 0.953 0.784
Ag 0.750 0.047 0.216
Ag 0.750 0.453 0.716
Ag 0.250 0.547 0.284
Sn 0.250 0.256 0.690
Sn 0.750 0.744 0.310
Sn 0.750 0.756 0.810
Sn 0.250 0.244 0.190
Sn 0.250 0.662 0.681
Sn 0.750 0.338 0.319
Sn 0.750 0.162 0.819
Sn 0.250 0.838 0.181
Sn 0.250 0.142 0.535
Sn 0.750 0.858 0.465
Sn 0.750 0.642 0.965
Sn 0.250 0.358 0.035
Sn 0.250 0.481 0.435
Sn 0.750 0.519 0.565
Sn 0.750 0.981 0.065
Sn 0.250 0.019 0.935


No. 2
A relaxed structure of SrAg2Sn2. Source: Alexandria, functional PBE.

Summary:
Its mass density is 6.83 Mg/m³. The polymorph energy (0 for the lowest one) comes out at 0.0000 eV/atom.

Cell lengths 4.741, 4.741, 6.742 Å; angles 69.41, 69.41, 90.00 degrees
Fractional coordinates of all 5 atoms:
Sr 0.000 0.000 0.000
Sn 0.379 0.379 0.243
Sn 0.621 0.621 0.757
Ag 0.750 0.250 0.500
Ag 0.250 0.750 0.500


No. 3
A relaxed structure of Sr2Ag4Sn5. Source: Alexandria, functional PBE.

Summary:
Its mass density is 7.01 Mg/m³.

Cell lengths 6.372, 7.402, 7.403 Å; angles 79.03, 64.51, 64.51 degrees
Fractional coordinates of all 11 atoms:
Sr 0.286 0.714 0.714
Sr 0.714 0.286 0.286
Ag 0.254 0.090 0.403
Ag 0.746 0.910 0.597
Ag 0.746 0.598 0.910
Ag 0.254 0.402 0.090
Sn 0.243 0.191 0.809
Sn 0.757 0.809 0.191
Sn 0.000 0.500 0.500
Sn 0.757 0.191 0.809
Sn 0.243 0.809 0.191


No. 4
A relaxed structure of Sr2AgSn2. Source: Alexandria, functional PBE.

Summary:
Its mass density is 5.57 Mg/m³. The polymorph energy (0 for the lowest one) comes out at 0.1020 eV/atom.

Cell lengths 7.781, 7.781, 5.126 Å; angles 90.00, 90.00, 90.00 degrees
Fractional coordinates of all 10 atoms:
Sr 0.165 0.665 0.500
Sr 0.665 0.835 0.500
Sr 0.835 0.335 0.500
Sr 0.335 0.165 0.500
Sn 0.360 0.860 0.000
Sn 0.860 0.640 0.000
Sn 0.640 0.140 0.000
Sn 0.140 0.360 0.000
Ag 0.000 0.000 0.000
Ag 0.500 0.500 0.000


No. 5
A relaxed structure of SrAg12Sn7. Source: Alexandria, functional PBE.

Summary:
Its mass density is 8.18 Mg/m³.

Cell lengths 7.189, 8.826, 8.826 Å; angles 112.92, 105.76, 105.76 degrees
Fractional coordinates of all 20 atoms:
Sr 0.000 0.000 0.000
Ag 0.266 0.532 0.266
Ag 0.000 0.266 0.734
Ag 0.604 0.660 0.000
Ag 0.396 0.000 0.340
Ag 0.266 0.266 0.532
Ag 0.055 0.660 0.660
Ag 0.945 0.340 0.340
Ag 0.734 0.734 0.468
Ag 0.604 0.000 0.660
Ag 0.396 0.340 0.000
Ag 0.000 0.734 0.266
Ag 0.734 0.468 0.734
Sn 0.194 0.651 0.000
Sn 0.806 0.000 0.349
Sn 0.457 0.651 0.651
Sn 0.500 0.000 0.000
Sn 0.543 0.349 0.349
Sn 0.194 0.000 0.651
Sn 0.806 0.349 0.000


No. 6
A relaxed structure of Sr2Ag5Sn2. Source: Alexandria, functional PBE.

Summary:
Its mass density is 6.88 Mg/m³.

Cell lengths 4.872, 4.872, 9.687 Å; angles 90.00, 90.00, 90.00 degrees
Fractional coordinates of all 9 atoms:
Sr 0.000 0.000 0.000
Sr 0.000 0.000 0.500
Ag 0.500 0.000 0.288
Ag 0.500 0.000 0.712
Ag 0.000 0.500 0.288
Ag 0.000 0.500 0.712
Ag 0.500 0.500 0.500
Sn 0.500 0.500 0.154
Sn 0.500 0.500 0.846


Respective E_tot values: -3.560; -3.431; -3.417; -3.321; -3.212; -3.055 eV per atom.